The following is a PBE with a Hubbard U calculation of an optimized crystal structure of Rb2CaMnO4, from the Alexandria database.

a b c (Å): 12.718 11.510 6.800
angles (deg): 83.77 64.12 32.11
Positions (direct):
Rb  0.063  0.063  0.687
Rb  0.313  0.313  0.937
Rb  0.687  0.687  0.063
Rb  0.937  0.937  0.313
Ca  0.125  0.125  0.125
Ca  0.875  0.875  0.875
Mn  0.375  0.375  0.375
Mn  0.625  0.625  0.625
O  0.042  0.632  0.532
O  0.294  0.532  0.632
O  0.368  0.958  0.706
O  0.468  0.706  0.958
O  0.532  0.294  0.042
O  0.632  0.042  0.294
O  0.706  0.468  0.368
O  0.958  0.368  0.468

Summary:
**Total moment**: 6.0 μB/cell
**Total energy**: -5.4464 eV/atom